(1)
Computed, not measured: a relaxed structure of TbSmTlGa at the PBE level of DFT.

Cell and atoms, written as extended XYZ:
```
4
Lattice="0.000 3.736 3.736 3.736 0.000 3.736 3.736 3.736 0.000" Properties=species:S:1:pos:R:3 pbc="T T T"
Tb 0.000 0.000 0.000
Sm 3.736 3.736 3.736
Tl 1.868 1.868 1.868
Ga 5.605 5.605 5.605
```

Summary:
Density = 9.3 g/cm3
Energy relative to the elements = -0.439 eV/atom
Total moment = 0.00 μB/f.u.
Space group = No. 216



(2)
Computed, not measured: a relaxed structure of PrSm2Er3 at the PBE level of DFT.

Cell and atoms, written as extended XYZ:
```
12
Lattice="4.493 -4.918 0.000 4.493 4.918 0.000 -1.837 0.000 8.799" Properties=species:S:1:pos:R:3 pbc="T T T"
Pr 3.115 4.074 6.599
Pr 4.034 -4.074 2.200
Sm 2.699 2.428 3.290
Sm 5.369 2.428 1.110
Sm 1.780 -2.428 7.689
Sm 4.450 -2.428 5.509
Er 0.408 0.825 8.787
Er 1.327 -0.825 4.387
Er 3.115 0.792 6.599
Er 4.034 -0.792 2.200
Er 5.822 0.825 4.412
Er 6.741 -0.825 0.012
```

Summary:
Density = 8.1 g/cm3
Energy relative to the elements = 0.069 eV/atom
Total moment = 0.00 μB/f.u.
Space group = No. 15



(3)
Computed, not measured: a relaxed structure of Na2TeS at the PBE level of DFT.

Cell and atoms, written as extended XYZ:
```
8
Lattice="-4.160 4.160 2.882 4.160 -4.160 2.882 4.160 4.160 -2.882" Properties=species:S:1:pos:R:3 pbc="T T T"
Na 2.080 1.628 -0.721
Na 2.532 -2.080 3.603
Na 2.080 2.532 2.162
Na 1.628 6.241 0.721
Te 4.160 0.000 1.441
Te 0.000 0.000 2.882
S 0.000 0.000 0.000
S 0.000 4.160 1.441
```

Summary:
Density = 3.4 g/cm3
Total moment = 0.00 μB/f.u.
Space group = No. 122
Raw formation energy = -0.606 eV per atom



(4)
Computed, not measured: a relaxed structure of MnHPdW2 at the PBE level of DFT.

Cell and atoms, written as extended XYZ:
```
5
Lattice="3.955 0.000 0.000 0.000 3.955 0.000 0.000 0.000 3.846" Properties=species:S:1:pos:R:3 pbc="T T T"
Mn 0.000 0.000 0.000
H 0.000 0.000 1.923
Pd 1.977 1.977 0.000
W 0.000 1.977 1.923
W 1.977 0.000 1.923
```

Summary:
Calculated total energy = -42.9 eV per cell
Density = 14.6 g/cm3
Total moment = 0.34 μB/f.u.
Space group = No. 123



(5)
Computed, not measured: a relaxed structure of La2SmDy at the PBE level of DFT.

Cell and atoms, written as extended XYZ:
```
4
Lattice="1.839 1.062 11.825 -1.839 1.062 11.825 0.000 -2.124 11.825" Properties=species:S:1:pos:R:3 pbc="T T T"
La 0.000 0.000 8.835
La 0.000 0.000 26.641
Sm 0.000 0.000 0.000
Dy 0.000 0.000 17.738
```

Summary:
Density = 7.1 g/cm3
Energy relative to the elements = 0.011 eV/atom
Total moment = 0.00 μB/f.u.
Space group = No. 166



(6)
Computed, not measured: a relaxed structure of Er4CdCu2Rh at the PBE level of DFT.

Cell and atoms, written as extended XYZ:
```
8
Lattice="2.476 1.430 8.076 -2.476 1.430 8.076 0.000 -2.860 8.076" Properties=species:S:1:pos:R:3 pbc="T T T"
Er 0.000 0.000 2.841
Er 0.000 0.000 8.942
Er 0.000 0.000 15.285
Er 0.000 0.000 21.386
Cd 0.000 0.000 12.113
Cu 0.000 0.000 5.897
Cu 0.000 0.000 18.330
Rh 0.000 0.000 0.000
```

Summary:
Density = 9.8 g/cm3
Energy relative to the elements = -0.447 eV/atom
Total moment = 0.00 μB/f.u.
Space group = No. 166



(7)
Computed, not measured: a relaxed structure of CsCdSbS3 at the PBE level of DFT.

Cell and atoms, written as extended XYZ:
```
12
Lattice="9.599 0.000 0.000 0.000 4.163 0.000 -2.774 0.000 9.942" Properties=species:S:1:pos:R:3 pbc="T T T"
Cs 1.135 1.041 2.222
Cs 5.691 3.122 7.720
Cd -0.683 1.041 6.044
Cd 7.508 3.122 3.897
Sb 0.968 3.122 8.663
Sb 5.857 1.041 1.279
S -0.832 1.041 8.617
S 0.358 3.122 4.981
S 3.845 3.122 1.178
S 2.980 1.041 8.764
S 6.467 1.041 4.961
S 7.657 3.122 1.324
```

Summary:
Density = 3.9 g/cm3
Total moment = 0.00 μB/f.u.
Space group = No. 11
Raw formation energy = -0.672 eV per atom



(8)
Computed, not measured: a relaxed structure of Sr10IrN8 at the PBE level of DFT.

Cell and atoms, written as extended XYZ:
```
19
Lattice="11.148 -2.421 0.000 11.148 2.421 0.000 -2.820 0.000 8.310" Properties=species:S:1:pos:R:3 pbc="T T T"
Sr -0.315 0.000 2.815
Sr 4.343 0.000 0.297
Sr 2.817 0.000 5.037
Sr 5.813 0.000 6.362
Sr 8.271 0.000 2.083
Sr 11.206 0.000 6.227
Sr 13.664 0.000 1.948
Sr 16.660 0.000 3.273
Sr 15.133 0.000 8.013
Sr 19.791 0.000 5.495
Ir 11.148 0.000 0.000
N 0.207 0.000 5.263
N 3.361 0.000 2.676
N 4.128 0.000 8.239
N 8.530 0.000 6.525
N 10.946 0.000 1.785
N 15.348 0.000 0.070
N 16.115 0.000 5.633
N 19.269 0.000 3.047
```

Summary:
Density = 4.4 g/cm3
Total moment = 1.14 μB/f.u.
Space group = No. 12
Raw formation energy = -0.400 eV per atom



> density of number 6 (Er4CdCu2Rh)?

9.8 g/cm3



Copy entry 8 word for word.
Computed, not measured: a relaxed structure of Sr10IrN8 at the PBE level of DFT.

Cell and atoms, written as extended XYZ:
```
19
Lattice="11.148 -2.421 0.000 11.148 2.421 0.000 -2.820 0.000 8.310" Properties=species:S:1:pos:R:3 pbc="T T T"
Sr -0.315 0.000 2.815
Sr 4.343 0.000 0.297
Sr 2.817 0.000 5.037
Sr 5.813 0.000 6.362
Sr 8.271 0.000 2.083
Sr 11.206 0.000 6.227
Sr 13.664 0.000 1.948
Sr 16.660 0.000 3.273
Sr 15.133 0.000 8.013
Sr 19.791 0.000 5.495
Ir 11.148 0.000 0.000
N 0.207 0.000 5.263
N 3.361 0.000 2.676
N 4.128 0.000 8.239
N 8.530 0.000 6.525
N 10.946 0.000 1.785
N 15.348 0.000 0.070
N 16.115 0.000 5.633
N 19.269 0.000 3.047
```

Summary:
Density = 4.4 g/cm3
Total moment = 1.14 μB/f.u.
Space group = No. 12
Raw formation energy = -0.400 eV per atom



> Which value of density does entry 2 give?

8.1 g/cm3